No. 1
Entry from the Alexandria database: an optimized crystal structure of VBi2W (GGA-PBE).

Computed properties:
As for the space group: I-42d, No. 122. Its formation energy is 1396 meV/atom. For the density of states at the Fermi level, the calculation gives 4.99 states/eV per cell. As for the energy: -6.063 eV per atom.

a = 7.7706 Å, b = 7.7706 Å, c = 7.7706 Å
α = 130.64°, β = 130.64°, γ = 72.39°
Atoms (fractional coordinates):
V  0.0000  0.0000  0.0000
V  0.7500  0.2500  0.5000
Bi  0.1323  0.6250  0.0073
Bi  0.3750  0.3823  0.5073
Bi  0.6177  0.1250  0.9927
Bi  0.8750  0.8677  0.4927
W  0.2500  0.7500  0.5000
W  0.5000  0.5000  0.0000

***

No. 2
Entry from the Alexandria database: an optimized crystal structure of Mg3CdHg2 (GGA-PBE).

Computed properties:
As for the space group: Cmmm, No. 65. Its formation energy is -192 meV/atom. For the density of states at the Fermi level, the calculation gives 1.50 states/eV per cell. As for the energy: -1.242 eV per atom.

a = 7.6377 Å, b = 7.6377 Å, c = 3.6526 Å
α = 90.00°, β = 90.00°, γ = 142.94°
Atoms (fractional coordinates):
Mg  0.0000  0.0000  0.0000
Mg  0.3283  0.6717  0.0000
Mg  0.6717  0.3283  0.0000
Cd  0.5000  0.5000  0.5000
Hg  0.1612  0.8388  0.5000
Hg  0.8388  0.1612  0.5000